[1]
VASP calculation (GGA-PBE) on crystalline AcCoSi3Ni at its relaxed geometry.

The total energy comes out at -5.98 eV/atom. The formation energy from raw total energies is -41.7 kJ per mole of atoms.

The structure belongs to space group Cmcm (No. 63); the cell edges are 6.1645, 11.4220 and 6.1685 Å and the angles 90.00°, 90.00° and 90.00°. The distinct sites, in fractional coordinates, are Ac at (0.0000, 0.2462, 0.2500), Co at (0.0000, 0.4178, 0.7500), Si at (0.0000, 0.2332, 0.7500), Si at (0.2252, 0.5000, 0.0000) and Ni at (0.0000, 0.0472, 0.7500).


[2]
VASP calculation (GGA-PBE) on crystalline AcCoSi2Ni at its relaxed geometry.

The total energy comes out at -6.20 eV/atom. The formation energy from raw total energies is -61.0 kJ per mole of atoms.

The structure belongs to space group I-4m2 (No. 119); the cell edges are 4.1094, 4.1094 and 10.4543 Å and the angles 90.00°, 90.00° and 90.00°. The distinct sites, in fractional coordinates, are Ac at (0.0000, 0.0000, 0.0000), Co at (0.0000, 0.5000, 0.2500), Si at (0.0000, 0.0000, 0.3516) and Ni at (0.0000, 0.5000, 0.7500).


[3]
VASP calculation (GGA-PBE) on crystalline AcSmCoNi at its relaxed geometry.

The total energy comes out at -5.45 eV/atom. The formation energy is -0.026 eV/atom.

The structure belongs to space group F-43m (No. 216); the cell edges are 7.0778, 7.0778 and 7.0778 Å and the angles 90.00°, 90.00° and 90.00°. The distinct sites, in fractional coordinates, are Ac at (0.0000, 0.0000, 0.0000), Sm at (0.0000, 0.0000, 0.5000), Co at (0.2500, 0.2500, 0.7500) and Ni at (0.2500, 0.2500, 0.2500).


[4]
VASP calculation (GGA-PBE) on crystalline Ac2CoNi3Sn4 at its relaxed geometry.

The total energy comes out at -5.34 eV/atom. The formation energy is -0.476 eV/atom.

The structure belongs to space group P-4m2 (No. 115); the cell edges are 4.5411, 4.5411 and 10.5059 Å and the angles 90.00°, 90.00° and 90.00°. The distinct sites, in fractional coordinates, are Ac at (0.0000, 0.5000, 0.2409), Co at (0.5000, 0.5000, 0.0000), Ni at (0.0000, 0.0000, 0.0000), Ni at (0.0000, 0.5000, 0.6291), Sn at (0.0000, 0.0000, 0.5000), Sn at (0.0000, 0.5000, 0.8779) and Sn at (0.5000, 0.5000, 0.5000).


[5]
VASP calculation (GGA-PBE) on crystalline AcTbCoNi at its relaxed geometry.

The total energy comes out at -5.46 eV/atom. The formation energy is -0.049 eV/atom.

The structure belongs to space group F-43m (No. 216); the cell edges are 7.0236, 7.0236 and 7.0236 Å and the angles 90.00°, 90.00° and 90.00°. The distinct sites, in fractional coordinates, are Ac at (0.0000, 0.0000, 0.0000), Tb at (0.0000, 0.0000, 0.5000), Co at (0.2500, 0.2500, 0.2500) and Ni at (0.2500, 0.2500, 0.7500).


[6]
VASP calculation (GGA-PBE) on crystalline AcYCoNi at its relaxed geometry.

The total energy comes out at -5.91 eV/atom. The formation energy is -0.045 eV/atom.

The structure belongs to space group F-43m (No. 216); the cell edges are 7.0253, 7.0253 and 7.0253 Å and the angles 90.00°, 90.00° and 90.00°. The distinct sites, in fractional coordinates, are Ac at (0.0000, 0.0000, 0.0000), Y at (0.0000, 0.0000, 0.5000), Co at (0.2500, 0.2500, 0.7500) and Ni at (0.2500, 0.2500, 0.2500).


| no. | Fermi-level density of states (states/eV/f.u.) | density (kg/m3) |
| --- | --- | --- |
| 1 | 2.79 | 6559 |
| 2 | 4.84 | 7540 |
| 3 | 2.56 | 9273 |
| 4 | 7.44 | 8921 |
| 5 | 2.83 | 9653 |
| 6 | 2.89 | 8305 |